Ca5PrIn6: relaxed, GGA-PBE.

Energy of formation, eV/atom: -0.4760

Geometry as CIF:
```
data_Ca5PrIn6
_cell_length_a 5.445
_cell_length_b 7.767
_cell_length_c 16.361
_cell_angle_alpha 90.00
_cell_angle_beta 90.00
_cell_angle_gamma 90.00
_space_group_name_H-M_alt 'I m m m'
_space_group_IT_number 71
_space_group_name_Hall '-I 2 2'
loop_
_atom_site_label
_atom_site_type_symbol
_atom_site_fract_x
_atom_site_fract_y
_atom_site_fract_z
_atom_site_occupancy
Ca1 Ca 0.000 0.000 0.000 1
Ca2 Ca 0.000 0.000 0.333 1
Ca3 Ca 0.000 0.500 0.331 1
Pr1 Pr 0.000 0.500 0.000 1
In1 In 0.000 0.245 0.167 1
In2 In 0.000 0.257 0.500 1
```

CaPr5In3: relaxed, GGA-PBE.

Energy of formation, eV/atom: -0.3749

Geometry as CIF:
```
data_CaPr5In3
_cell_length_a 9.6938
_cell_length_b 9.6938
_cell_length_c 6.9812
_cell_angle_alpha 90.00
_cell_angle_beta 90.00
_cell_angle_gamma 120.00
_space_group_name_H-M_alt 'P 63/m c m'
_space_group_IT_number 193
_space_group_name_Hall '-P 6c 2'
loop_
_atom_site_label
_atom_site_type_symbol
_atom_site_fract_x
_atom_site_fract_y
_atom_site_fract_z
_atom_site_occupancy
Ca1 Ca 0.0000 0.0000 0.0000 1
Pr1 Pr 0.0000 0.3349 0.2500 1
Pr2 Pr 0.3333 0.6667 0.0000 1
In1 In 0.0000 0.3308 0.7500 1
```

CaPr3In2: relaxed, GGA-PBE.

Energy of formation, eV/atom: -0.3863
Relative energy among the computed polymorphs, eV per atom: 0.000

Geometry as CIF:
```
data_CaPr3In2
_cell_length_a 5.574
_cell_length_b 9.725
_cell_length_c 6.991
_cell_angle_alpha 90.00
_cell_angle_beta 90.00
_cell_angle_gamma 90.00
_space_group_name_H-M_alt 'P m c 21'
_space_group_IT_number 26
loop_
_space_group_symop_operation_xyz
'x,y,z'
'-x,-y,z+1/2'
'-x,y,z'
'x,-y,z+1/2'
loop_
_atom_site_label
_atom_site_type_symbol
_atom_site_fract_x
_atom_site_fract_y
_atom_site_fract_z
_atom_site_occupancy
Ca1 Ca 0.000 0.001 0.000 1
Pr1 Pr 0.000 0.333 0.748 1
Pr2 Pr 0.500 0.165 0.251 1
Pr3 Pr 0.500 0.499 0.999 1
In1 In 0.000 0.333 0.249 1
In2 In 0.500 0.165 0.750 1
```

CaPr3In4: relaxed, GGA-PBE.

Energy of formation, eV/atom: -0.4816

Geometry as CIF:
```
data_CaPr3In4
_cell_length_a 3.785
_cell_length_b 3.785
_cell_length_c 16.421
_cell_angle_alpha 90.00
_cell_angle_beta 90.00
_cell_angle_gamma 90.00
_space_group_name_H-M_alt 'P 4/m m m'
_space_group_IT_number 123
_space_group_name_Hall '-P 4 2'
loop_
_atom_site_label
_atom_site_type_symbol
_atom_site_fract_x
_atom_site_fract_y
_atom_site_fract_z
_atom_site_occupancy
Ca1 Ca 0.000 0.000 0.000 1
Pr1 Pr 0.000 0.000 0.245 1
Pr2 Pr 0.000 0.000 0.500 1
In1 In 0.500 0.500 0.118 1
In2 In 0.500 0.500 0.372 1
```

CaPr3In: relaxed, GGA-PBE.

Energy of formation, eV/atom: -0.1736

Geometry as CIF:
```
data_CaPr3In
_cell_length_a 9.036
_cell_length_b 7.157
_cell_length_c 10.941
_cell_angle_alpha 90.00
_cell_angle_beta 107.38
_cell_angle_gamma 90.00
_space_group_name_H-M_alt 'P 1 21/c 1'
_space_group_IT_number 14
loop_
_space_group_symop_operation_xyz
'x,y,z'
'-x,-y,-z'
'-x,y+1/2,-z+1/2'
'x,-y+1/2,z+1/2'
loop_
_atom_site_label
_atom_site_type_symbol
_atom_site_fract_x
_atom_site_fract_y
_atom_site_fract_z
_atom_site_occupancy
Ca1 Ca 0.235 0.007 0.315 1
Pr1 Pr 0.028 0.243 0.006 1
Pr2 Pr 0.207 0.509 0.293 1
Pr3 Pr 0.406 0.732 0.600 1
In1 In 0.405 0.241 0.603 1
```

CaPr5In4: relaxed, GGA-PBE.

Energy of formation, eV/atom: -0.1419
Relative energy among the computed polymorphs, eV per atom: 0.226

Geometry as CIF:
```
data_CaPr5In4
_cell_length_a 8.514
_cell_length_b 9.369
_cell_length_c 8.824
_cell_angle_alpha 90.00
_cell_angle_beta 90.00
_cell_angle_gamma 90.00
_space_group_name_H-M_alt 'P m m n'
_space_group_IT_number 59
loop_
_space_group_symop_operation_xyz
'x,y,z'
'-x,-y,-z'
'-x+1/2,-y+1/2,z'
'x+1/2,y+1/2,-z'
'x+1/2,-y,-z'
'-x+1/2,y,z'
'-x,y+1/2,-z'
'x,-y+1/2,z'
loop_
_atom_site_label
_atom_site_type_symbol
_atom_site_fract_x
_atom_site_fract_y
_atom_site_fract_z
_atom_site_occupancy
Ca1 Ca 0.250 0.250 0.082 1
Pr1 Pr 0.006 0.050 0.734 1
Pr2 Pr 0.250 0.750 0.646 1
In1 In 0.090 0.250 0.442 1
In2 In 0.250 0.593 0.989 1
```

Ca2PrIn9: relaxed, GGA-PBE.

Energy of formation, eV/atom: -0.3720

Geometry as CIF:
```
data_Ca2PrIn9
_cell_length_a 4.726
_cell_length_b 4.726
_cell_length_c 14.190
_cell_angle_alpha 90.00
_cell_angle_beta 90.00
_cell_angle_gamma 90.00
_space_group_name_H-M_alt 'P 4/m m m'
_space_group_IT_number 123
_space_group_name_Hall '-P 4 2'
loop_
_atom_site_label
_atom_site_type_symbol
_atom_site_fract_x
_atom_site_fract_y
_atom_site_fract_z
_atom_site_occupancy
Ca1 Ca 0.000 0.000 0.165 1
Pr1 Pr 0.000 0.000 0.500 1
In1 In 0.000 0.500 0.000 1
In2 In 0.000 0.500 0.330 1
In3 In 0.500 0.500 0.167 1
In4 In 0.500 0.500 0.500 1
```

CaPr2In2: relaxed, GGA-PBE.

Energy of formation, eV/atom: -0.3992
Relative energy among the computed polymorphs, eV per atom: 0.027

Geometry as CIF:
```
data_CaPr2In2
_cell_length_a 8.679
_cell_length_b 8.679
_cell_length_c 4.302
_cell_angle_alpha 90.00
_cell_angle_beta 90.00
_cell_angle_gamma 90.00
_space_group_name_H-M_alt 'P 4/m b m'
_space_group_IT_number 127
_space_group_name_Hall '-P 4 2ab'
loop_
_atom_site_label
_atom_site_type_symbol
_atom_site_fract_x
_atom_site_fract_y
_atom_site_fract_z
_atom_site_occupancy
Ca1 Ca 0.000 0.000 0.000 1
Pr1 Pr 0.174 0.326 0.500 1
In1 In 0.125 0.625 0.000 1
```

Ca2PrIn: relaxed, GGA-PBE.

Energy of formation, eV/atom: 0.0961
Relative energy among the computed polymorphs, eV per atom: 0.343

Geometry as CIF:
```
data_Ca2PrIn
_cell_length_a 3.6647
_cell_length_b 3.6647
_cell_length_c 38.2811
_cell_angle_alpha 90.00
_cell_angle_beta 90.00
_cell_angle_gamma 120.00
_space_group_name_H-M_alt 'R -3 m'
_space_group_IT_number 166
_space_group_name_Hall '-R 3 2"'
loop_
_atom_site_label
_atom_site_type_symbol
_atom_site_fract_x
_atom_site_fract_y
_atom_site_fract_z
_atom_site_occupancy
Ca1 Ca 0.0000 0.0000 0.0853 1
Pr1 Pr 0.0000 0.0000 0.5000 1
In1 In 0.0000 0.0000 0.0000 1
```

CaPr7In4: relaxed, GGA-PBE.

Energy of formation, eV/atom: -0.1440

Geometry as CIF:
```
data_CaPr7In4
_cell_length_a 14.542
_cell_length_b 5.914
_cell_length_c 11.246
_cell_angle_alpha 90.00
_cell_angle_beta 124.39
_cell_angle_gamma 90.00
_space_group_name_H-M_alt 'C 1 2/m 1'
_space_group_IT_number 12
loop_
_space_group_symop_operation_xyz
'x,y,z'
'-x,-y,-z'
'-x,y,-z'
'x,-y,z'
'x+1/2,y+1/2,z'
'-x+1/2,-y+1/2,-z'
'-x+1/2,y+1/2,-z'
'x+1/2,-y+1/2,z'
loop_
_atom_site_label
_atom_site_type_symbol
_atom_site_fract_x
_atom_site_fract_y
_atom_site_fract_z
_atom_site_occupancy
Ca1 Ca 0.000 0.000 0.000 1
Pr1 Pr 0.000 0.500 0.000 1
Pr2 Pr 0.060 0.000 0.383 1
Pr3 Pr 0.202 0.500 0.634 1
Pr4 Pr 0.209 0.000 0.877 1
In1 In 0.061 0.500 0.767 1
In2 In 0.183 0.500 0.330 1
```

Ca2PrIn: relaxed, GGA-PBE.

Energy of formation, eV/atom: -0.2299
Relative energy among the computed polymorphs, eV per atom: 0.017

Geometry as CIF:
```
data_Ca2PrIn
_cell_length_a 6.412
_cell_length_b 5.642
_cell_length_c 7.229
_cell_angle_alpha 90.00
_cell_angle_beta 94.56
_cell_angle_gamma 90.00
_space_group_name_H-M_alt 'P 1 21/m 1'
_space_group_IT_number 11
loop_
_space_group_symop_operation_xyz
'x,y,z'
'-x,-y,-z'
'-x,y+1/2,-z'
'x,-y+1/2,z'
loop_
_atom_site_label
_atom_site_type_symbol
_atom_site_fract_x
_atom_site_fract_y
_atom_site_fract_z
_atom_site_occupancy
Ca1 Ca 0.130 0.250 0.238 1
Ca2 Ca 0.353 0.750 0.022 1
Pr1 Pr 0.319 0.750 0.520 1
In1 In 0.175 0.250 0.735 1
```

CaPr3In12: relaxed, GGA-PBE.

Energy of formation, eV/atom: -0.4279

Geometry as CIF:
```
data_CaPr3In12
_cell_length_a 4.740
_cell_length_b 4.740
_cell_length_c 18.916
_cell_angle_alpha 90.00
_cell_angle_beta 90.00
_cell_angle_gamma 90.00
_space_group_name_H-M_alt 'P 4/m m m'
_space_group_IT_number 123
_space_group_name_Hall '-P 4 2'
loop_
_atom_site_label
_atom_site_type_symbol
_atom_site_fract_x
_atom_site_fract_y
_atom_site_fract_z
_atom_site_occupancy
Ca1 Ca 0.000 0.000 0.000 1
Pr1 Pr 0.000 0.000 0.250 1
Pr2 Pr 0.000 0.000 0.500 1
In1 In 0.000 0.500 0.123 1
In2 In 0.000 0.500 0.374 1
In3 In 0.500 0.500 0.000 1
In4 In 0.500 0.500 0.250 1
In5 In 0.500 0.500 0.500 1
```

CaPrInPt: relaxed, GGA-PBE.

Energy of formation, eV/atom: -0.6461

Geometry as CIF:
```
data_CaPrInPt
_cell_length_a 7.430
_cell_length_b 7.430
_cell_length_c 7.430
_cell_angle_alpha 90.00
_cell_angle_beta 90.00
_cell_angle_gamma 90.00
_space_group_name_H-M_alt 'F -4 3 m'
_space_group_IT_number 216
_space_group_name_Hall 'F -4 2 3'
loop_
_atom_site_label
_atom_site_type_symbol
_atom_site_fract_x
_atom_site_fract_y
_atom_site_fract_z
_atom_site_occupancy
Ca1 Ca 0.000 0.000 0.000 1
Pr1 Pr 0.000 0.000 0.500 1
In1 In 0.250 0.250 0.250 1
Pt1 Pt 0.250 0.250 0.750 1
```

CaPrSmIn: relaxed, GGA-PBE.

Energy of formation, eV/atom: -0.1914

Geometry as CIF:
```
data_CaPrSmIn
_cell_length_a 7.941
_cell_length_b 7.941
_cell_length_c 7.941
_cell_angle_alpha 90.00
_cell_angle_beta 90.00
_cell_angle_gamma 90.00
_space_group_name_H-M_alt 'F -4 3 m'
_space_group_IT_number 216
_space_group_name_Hall 'F -4 2 3'
loop_
_atom_site_label
_atom_site_type_symbol
_atom_site_fract_x
_atom_site_fract_y
_atom_site_fract_z
_atom_site_occupancy
Ca1 Ca 0.000 0.000 0.000 1
Pr1 Pr 0.250 0.250 0.250 1
Sm1 Sm 0.250 0.250 0.750 1
In1 In 0.000 0.000 0.500 1
```

CaPrInSn: relaxed, GGA-PBE.

Energy of formation, eV/atom: -0.5285
Relative energy among the computed polymorphs, eV per atom: 0.047

Geometry as CIF:
```
data_CaPrInSn
_cell_length_a 7.761
_cell_length_b 7.761
_cell_length_c 7.761
_cell_angle_alpha 90.00
_cell_angle_beta 90.00
_cell_angle_gamma 90.00
_space_group_name_H-M_alt 'F -4 3 m'
_space_group_IT_number 216
_space_group_name_Hall 'F -4 2 3'
loop_
_atom_site_label
_atom_site_type_symbol
_atom_site_fract_x
_atom_site_fract_y
_atom_site_fract_z
_atom_site_occupancy
Ca1 Ca 0.000 0.000 0.000 1
Pr1 Pr 0.000 0.000 0.500 1
In1 In 0.250 0.250 0.750 1
Sn1 Sn 0.250 0.250 0.250 1
```

CaPrInSn: relaxed, GGA-PBE.

Energy of formation, eV/atom: -0.5758
Relative energy among the computed polymorphs, eV per atom: 0.000

Geometry as CIF:
```
data_CaPrInSn
_cell_length_a 4.514
_cell_length_b 5.041
_cell_length_c 5.090
_cell_angle_alpha 90.00
_cell_angle_beta 90.00
_cell_angle_gamma 90.00
_space_group_name_H-M_alt 'P m m m'
_space_group_IT_number 47
loop_
_space_group_symop_operation_xyz
'x,y,z'
'-x,-y,-z'
'-x,-y,z'
'x,y,-z'
'x,-y,-z'
'-x,y,z'
'-x,y,-z'
'x,-y,z'
loop_
_atom_site_label
_atom_site_type_symbol
_atom_site_fract_x
_atom_site_fract_y
_atom_site_fract_z
_atom_site_occupancy
Ca1 Ca 0.000 0.000 0.000 1
Pr1 Pr 0.000 0.500 0.500 1
In1 In 0.500 0.500 0.000 1
Sn1 Sn 0.500 0.000 0.500 1
```

CaTbPrIn: relaxed, GGA-PBE.

Energy of formation, eV/atom: -0.1741

Geometry as CIF:
```
data_CaTbPrIn
_cell_length_a 7.895
_cell_length_b 7.895
_cell_length_c 7.895
_cell_angle_alpha 90.00
_cell_angle_beta 90.00
_cell_angle_gamma 90.00
_space_group_name_H-M_alt 'F -4 3 m'
_space_group_IT_number 216
_space_group_name_Hall 'F -4 2 3'
loop_
_atom_site_label
_atom_site_type_symbol
_atom_site_fract_x
_atom_site_fract_y
_atom_site_fract_z
_atom_site_occupancy
Ca1 Ca 0.000 0.000 0.000 1
Tb1 Tb 0.250 0.250 0.750 1
Pr1 Pr 0.250 0.250 0.250 1
In1 In 0.000 0.000 0.500 1
```

CaTb2PrIn4: relaxed, GGA-PBE.

Energy of formation, eV/atom: -0.4695

Geometry as CIF:
```
data_CaTb2PrIn4
_cell_length_a 5.3953
_cell_length_b 5.3953
_cell_length_c 26.6449
_cell_angle_alpha 90.00
_cell_angle_beta 90.00
_cell_angle_gamma 120.00
_space_group_name_H-M_alt 'R -3 m'
_space_group_IT_number 166
_space_group_name_Hall '-R 3 2"'
loop_
_atom_site_label
_atom_site_type_symbol
_atom_site_fract_x
_atom_site_fract_y
_atom_site_fract_z
_atom_site_occupancy
Ca1 Ca 0.0000 0.0000 0.0000 1
Tb1 Tb 0.0000 0.0000 0.2521 1
Pr1 Pr 0.0000 0.0000 0.5000 1
In1 In 0.0000 0.0000 0.1246 1
In2 In 0.0000 0.0000 0.3745 1
```

CaPrIn2Te4: relaxed, GGA-PBE.

Formation energy without anion corrections, meV/atom: -919.7

Geometry as CIF:
```
data_CaPrIn2Te4
_cell_length_a 7.824
_cell_length_b 4.513
_cell_length_c 8.201
_cell_angle_alpha 90.00
_cell_angle_beta 108.46
_cell_angle_gamma 90.00
_space_group_name_H-M_alt 'P 1 2/m 1'
_space_group_IT_number 10
loop_
_space_group_symop_operation_xyz
'x,y,z'
'-x,-y,-z'
'-x,y,-z'
'x,-y,z'
loop_
_atom_site_label
_atom_site_type_symbol
_atom_site_fract_x
_atom_site_fract_y
_atom_site_fract_z
_atom_site_occupancy
Ca1 Ca 0.000 0.000 0.000 1
Pr1 Pr 0.500 0.500 0.000 1
In1 In 0.000 0.500 0.500 1
In2 In 0.500 0.000 0.500 1
Te1 Te 0.249 0.500 0.240 1
Te2 Te 0.256 0.000 0.761 1
```

Ca2PrInTe4: relaxed, GGA-PBE.

Formation energy without anion corrections, meV/atom: -1274.5

Geometry as CIF:
```
data_Ca2PrInTe4
_cell_length_a 7.802
_cell_length_b 4.574
_cell_length_c 8.104
_cell_angle_alpha 90.00
_cell_angle_beta 108.83
_cell_angle_gamma 90.00
_space_group_name_H-M_alt 'P 1 2/m 1'
_space_group_IT_number 10
loop_
_space_group_symop_operation_xyz
'x,y,z'
'-x,-y,-z'
'-x,y,-z'
'x,-y,z'
loop_
_atom_site_label
_atom_site_type_symbol
_atom_site_fract_x
_atom_site_fract_y
_atom_site_fract_z
_atom_site_occupancy
Ca1 Ca 0.000 0.000 0.000 1
Ca2 Ca 0.000 0.500 0.500 1
Pr1 Pr 0.500 0.000 0.500 1
In1 In 0.500 0.500 0.000 1
Te1 Te 0.241 0.000 0.736 1
Te2 Te 0.248 0.500 0.255 1
```

Ca2PrTl2In2: relaxed, GGA-PBE.

Energy of formation, eV/atom: -0.2490

Geometry as CIF:
```
data_Ca2PrTl2In2
_cell_length_a 5.0915
_cell_length_b 5.0915
_cell_length_c 28.0388
_cell_angle_alpha 90.00
_cell_angle_beta 90.00
_cell_angle_gamma 120.00
_space_group_name_H-M_alt 'R -3 m'
_space_group_IT_number 166
_space_group_name_Hall '-R 3 2"'
loop_
_atom_site_label
_atom_site_type_symbol
_atom_site_fract_x
_atom_site_fract_y
_atom_site_fract_z
_atom_site_occupancy
Ca1 Ca 0.0000 0.0000 0.1327 1
Pr1 Pr 0.0000 0.0000 0.0000 1
Tl1 Tl 0.0000 0.0000 0.4279 1
In1 In 0.0000 0.0000 0.2733 1
```

CaPrTm2In4: relaxed, GGA-PBE.

Energy of formation, eV/atom: -0.4416

Geometry as CIF:
```
data_CaPrTm2In4
_cell_length_a 5.3600
_cell_length_b 5.3600
_cell_length_c 26.4785
_cell_angle_alpha 90.00
_cell_angle_beta 90.00
_cell_angle_gamma 120.00
_space_group_name_H-M_alt 'R -3 m'
_space_group_IT_number 166
_space_group_name_Hall '-R 3 2"'
loop_
_atom_site_label
_atom_site_type_symbol
_atom_site_fract_x
_atom_site_fract_y
_atom_site_fract_z
_atom_site_occupancy
Ca1 Ca 0.0000 0.0000 0.0000 1
Pr1 Pr 0.0000 0.0000 0.5000 1
Tm1 Tm 0.0000 0.0000 0.2515 1
In1 In 0.0000 0.0000 0.1241 1
In2 In 0.0000 0.0000 0.3740 1
```

CaPrTmIn: relaxed, GGA-PBE.

Energy of formation, eV/atom: -0.1454

Geometry as CIF:
```
data_CaPrTmIn
_cell_length_a 7.848
_cell_length_b 7.848
_cell_length_c 7.848
_cell_angle_alpha 90.00
_cell_angle_beta 90.00
_cell_angle_gamma 90.00
_space_group_name_H-M_alt 'F -4 3 m'
_space_group_IT_number 216
_space_group_name_Hall 'F -4 2 3'
loop_
_atom_site_label
_atom_site_type_symbol
_atom_site_fract_x
_atom_site_fract_y
_atom_site_fract_z
_atom_site_occupancy
Ca1 Ca 0.000 0.000 0.000 1
Pr1 Pr 0.250 0.250 0.750 1
Tm1 Tm 0.250 0.250 0.250 1
In1 In 0.000 0.000 0.500 1
```